Model w:
NaSrIrW: relaxed, PBE.

Geometry as POSCAR:
```
NaSrIrW
1.0
0.000 3.420 3.420
3.420 0.000 3.420
3.420 3.420 0.000
Ir Na Sr W
1 1 1 1
Direct
0.250 0.250 0.250
0.750 0.750 0.750
0.500 0.500 0.500
0.000 0.000 0.000
```

## Properties
density	10.10	g/cm³


Model x:
NaSrIrW: relaxed, PBE.

Geometry as POSCAR:
```
NaSrIrW
1.0
0.000 3.541 3.541
3.541 0.000 3.541
3.541 3.541 0.000
Ir Na Sr W
1 1 1 1
Direct
0.500 0.500 0.500
0.750 0.750 0.750
0.250 0.250 0.250
0.000 0.000 0.000
```

## Properties
density	9.10	g/cm³


Last place for stability: model x


Model w:
NaYTaIr: relaxed, PBE.

Geometry as POSCAR:
```
NaYTaIr
1.0
0.730 -1.082 4.572
-3.646 -0.011 3.052
-1.617 -4.111 1.757
Ir Na Ta Y
1 1 1 1
Direct
0.500 0.500 0.500
0.750 0.750 0.750
0.250 0.250 0.250
0.000 0.000 0.000
```

## Properties
density	10.60	g/cm³


Model x:
NaYTaIr: relaxed, PBE.

Geometry as POSCAR:
```
NaYTaIr
1.0
0.000 3.384 3.384
3.384 0.000 3.384
3.384 3.384 0.000
Ir Na Ta Y
1 1 1 1
Direct
0.250 0.250 0.250
0.750 0.750 0.750
0.500 0.500 0.500
0.000 0.000 0.000
```

## Properties
density	10.39	g/cm³


Last place for stability: model w


Model w:
NaZnIrW: relaxed, PBE.

Geometry as POSCAR:
```
NaZnIrW
1.0
0.312 -4.062 -1.682
-3.596 -2.029 -1.542
-0.485 -0.634 -4.335
Ir Na W Zn
1 1 1 1
Direct
0.250 0.250 0.250
0.750 0.750 0.750
0.500 0.500 0.500
0.000 0.000 0.000
```

## Properties
density	12.74	g/cm³


Model x:
NaZnIrW: relaxed, PBE.

Geometry as POSCAR:
```
NaZnIrW
1.0
-3.770 0.214 2.345
-3.924 -0.184 -2.079
-2.567 -3.604 0.414
Ir Na W Zn
1 1 1 1
Direct
0.500 0.500 0.500
0.750 0.750 0.750
0.250 0.250 0.250
0.000 0.000 0.000
```

## Properties
density	12.42	g/cm³


Last place for stability: model x